[1]
{"formula": "PrZn3", "functional": "meta-GGA SCAN", "state": "PBEsol geometry", "dft_energy_ev_per_atom": -21.37, "delta_e_f_mev_per_atom": -399, "cell": [[4.522, 0.000, 0.000], [0.000, 6.511, 0.000], [0.000, 0.000, 10.229]], "species": ["Pr", "Pr", "Pr", "Pr", "Zn", "Zn", "Zn", "Zn", "Zn", "Zn", "Zn", "Zn", "Zn", "Zn", "Zn", "Zn"], "fractional_positions": [[0.750, 0.246, 0.848], [0.750, 0.746, 0.652], [0.250, 0.754, 0.152], [0.250, 0.254, 0.348], [0.750, 0.945, 0.373], [0.750, 0.445, 0.127], [0.250, 0.055, 0.627], [0.250, 0.555, 0.873], [0.750, 0.563, 0.367], [0.750, 0.063, 0.133], [0.250, 0.437, 0.633], [0.250, 0.937, 0.867], [0.750, 0.255, 0.548], [0.750, 0.755, 0.952], [0.250, 0.745, 0.452], [0.250, 0.245, 0.048]]}

---

[2]
{"formula": "LaAl2Cr", "functional": "meta-GGA SCAN", "state": "PBEsol geometry", "dft_energy_ev_per_atom": -19.38, "delta_e_f_mev_per_atom": -130, "cell": [[4.828, 0.000, 0.000], [2.414, 4.181, 0.000], [2.414, 1.394, 3.942]], "species": ["Cr", "Al", "Al", "La"], "fractional_positions": [[0.000, 0.000, 0.000], [0.250, 0.250, 0.250], [0.750, 0.750, 0.750], [0.500, 0.500, 0.500]]}

---

[3]
{"formula": "LaGa3Fe", "functional": "meta-GGA SCAN", "state": "PBEsol geometry", "dft_energy_ev_per_atom": -20.64, "delta_e_f_mev_per_atom": 1415, "cell": [[-2.682, -4.427, -1.700], [3.563, -3.170, 2.633], [-3.129, 0.185, 4.456]], "species": ["Fe", "Ga", "Ga", "Ga", "La"], "fractional_positions": [[0.500, 0.500, 0.500], [0.000, 0.500, 0.000], [0.000, 0.000, 0.500], [0.500, 0.000, 0.000], [0.000, 0.000, 0.000]]}

---

[4]
{"formula": "Sb2PbAu", "functional": "meta-GGA SCAN", "state": "PBEsol geometry", "dft_energy_ev_per_atom": -54.95, "e_form_raw_ev_per_atom": -0.089, "cell": [[-0.491, 3.913, 1.314], [-4.629, -1.309, 2.170], [3.760, -0.663, 3.379]], "species": ["Pb", "Sb", "Sb", "Au"], "fractional_positions": [[0.500, 0.500, 0.000], [0.000, 0.212, 0.288], [0.000, 0.788, 0.712], [0.500, 0.000, 0.500]]}

---

[5]
{"formula": "Fe2MoAs", "functional": "meta-GGA SCAN", "state": "PBEsol geometry", "dft_energy_ev_per_atom": -22.60, "delta_e_f_mev_per_atom": 230, "cell": [[-2.139, -1.711, 0.229], [1.599, -2.100, -0.768], [1.521, -1.082, 6.127]], "species": ["As", "Fe", "Fe", "Mo"], "fractional_positions": [[0.500, 0.500, 0.500], [0.000, 0.000, 0.719], [0.000, 0.000, 0.281], [0.500, 0.500, 0.000]]}

---

[6]
{"formula": "LiTlRhBr2", "functional": "meta-GGA SCAN", "state": "PBEsol geometry", "dft_energy_ev_per_atom": -29.82, "e_form_raw_ev_per_atom": -0.334, "cell": [[4.636, 0.000, 0.000], [0.000, 5.077, 0.000], [0.000, 0.000, 5.077]], "species": ["Tl", "Rh", "Br", "Br", "Li"], "fractional_positions": [[0.500, 0.500, 0.500], [0.000, 0.000, 0.000], [0.000, 0.000, 0.500], [0.000, 0.500, 0.000], [0.500, 0.000, 0.000]]}